A plane-wave DFT calculation with GGA+U was carried out for a relaxed RbGeMoO6 crystal.

Properties
**Calculated total energy**: -110.65 eV for the cell shown
**Magnetic moment**: 1.060 μB per formula unit
**Crystal system**: monoclinic

Unit cell a=5.2715 b=9.2537 c=6.1698 alpha=90.00 beta=90.08 gamma=90.00
With the nearest neighbours (Å) after each atom.
Space group C2 (No. 5)
One atom of each set of equivalent atoms:
Rb  0.0000  0.0000  0.0000 (multiplicity 2)  6 O 2.91-3.02
Ge  0.0000  0.3189  0.5000 (multiplicity 2)  6 O 1.87-1.96
Mo  0.0000  0.6768  0.5000 (multiplicity 2)  6 O 1.89-2.01
O  0.0945  0.4937  0.6542 (multiplicity 4)  1 Ge 1.94, 1 Mo 2.01, 1 O 2.15
O  0.1987  0.2012  0.6788 (multiplicity 4)  1 Ge 1.87, 1 Mo 1.95
O  0.1994  0.7947  0.6831 (multiplicity 4)  1 Mo 1.89, 1 Ge 1.96